Version 1
Here is a relaxed Li2BH6 crystal from the Alexandria database. Energies are from PBE.

Output
ρ   829 kg/m³

```
Li2BH6
1.0
5.0987 0.0000 -0.6100
0.0000 4.9289 0.0000
-1.4534 0.0000 5.0750
H Li B
12 4 2
direct
0.7558 0.6019 0.9182
0.9300 0.7448 0.5235
0.8389 0.0032 0.2410
0.2558 0.8981 0.4182
0.2442 0.3981 0.0818
0.6611 0.5032 0.2590
0.5700 0.2448 0.9765
0.4300 0.7552 0.0235
0.0700 0.2552 0.4765
0.7442 0.1019 0.5818
0.1611 0.9968 0.7590
0.3389 0.4968 0.7410
0.4505 0.1079 0.2491
0.9505 0.3921 0.7491
0.5495 0.8921 0.7509
0.0495 0.6079 0.2509
0.5000 0.5000 0.0000
0.0000 0.0000 0.5000
```



Version 2
Here is a relaxed Li2BH6 crystal from the Alexandria database. Energies are from PBE.

Output
ρ   1025 kg/m³

```
Li2BH6
1.0
3.5759 0.0000 2.0645
1.1920 3.3714 2.0645
0.0000 0.0000 4.1291
Li H B
2 6 1
direct
0.2500 0.2500 0.2500
0.7500 0.7500 0.7500
0.2412 0.2412 0.7588
0.2412 0.7588 0.7588
0.7588 0.2412 0.2412
0.7588 0.7588 0.2412
0.2412 0.7588 0.2412
0.7588 0.2412 0.7588
0.0000 0.0000 0.0000
```



Stability, highest: version 1



Version 1
Here is a relaxed LiB2H8 crystal from the Alexandria database. Energies are from PBE.

Output
ρ   592 kg/m³

```
LiB2H8
1.0
5.8905 0.0000 2.5997
2.6704 5.5664 1.9227
0.6357 -0.0935 6.5328
B H Li
4 16 2
direct
0.1667 0.0542 0.0520
0.2730 0.4458 0.4480
0.7270 0.5542 0.5520
0.8333 0.9458 0.9480
0.0729 0.5860 0.5818
0.3362 0.2320 0.5055
0.2407 0.9140 0.9182
0.0734 0.0005 0.2624
0.9263 0.7320 0.0055
0.5816 0.9977 0.9977
0.9271 0.4140 0.4182
0.7593 0.0860 0.0818
0.4184 0.0023 0.0023
0.3363 0.4995 0.2376
0.6637 0.5005 0.7624
0.6638 0.7680 0.4945
0.0737 0.2680 0.9945
0.5771 0.5023 0.5023
0.4229 0.4977 0.4977
0.9266 0.9995 0.7376
0.0000 0.7500 0.2500
0.0000 0.2500 0.7500
```



Version 2
Here is a relaxed LiB2H8 crystal from the Alexandria database. Energies are from PBE.

Output
ρ   685 kg/m³

```
LiB2H8
1.0
2.8683 0.4443 0.3371
0.6520 5.6475 -0.4572
0.6520 1.0803 5.5621
H B Li
8 2 1
direct
0.8770 0.6201 0.6201
0.1230 0.3799 0.3799
0.7461 0.2556 0.2556
0.3502 0.2891 0.0122
0.6498 0.9878 0.7109
0.3502 0.0122 0.2891
0.6498 0.7109 0.9878
0.2539 0.7444 0.7444
0.2736 0.2288 0.2288
0.7264 0.7712 0.7712
0.0000 0.0000 0.0000
```



Stability, highest: version 1



Version 1
Here is a relaxed NaLiB2H10N2 crystal from the Alexandria database. Energies are from PBE.

Output
ρ   1024 kg/m³

```
NaLiB2H10N2
1.0
-2.6852 -2.8174 3.2970
-0.9030 -2.9721 -6.5332
8.2898 -2.2340 2.0637
H B Na Li N
20 4 2 2 4
direct
0.7651 0.6743 0.6046
0.8555 0.3276 0.1347
0.9784 0.1651 0.4334
0.2349 0.3257 0.3954
0.7674 0.7316 0.2578
0.6074 0.0811 0.1757
0.3774 0.5616 0.1051
0.5380 0.4771 0.2935
0.4855 0.8104 0.4665
0.0216 0.8349 0.5666
0.3926 0.9189 0.8243
0.6716 0.1523 0.6971
0.4620 0.5229 0.7065
0.3284 0.8477 0.3029
0.1445 0.6724 0.8653
0.5145 0.1896 0.5335
0.0290 0.9139 0.8801
0.6226 0.4384 0.8949
0.9710 0.0861 0.1199
0.2326 0.2684 0.7422
0.5195 0.6252 0.2490
0.1430 0.8103 0.8039
0.4805 0.3748 0.7510
0.8570 0.1897 0.1961
0.6512 0.7691 0.9837
0.3488 0.2309 0.0163
0.9764 0.5562 0.3668
0.0236 0.4438 0.6332
0.0192 0.2797 0.3817
0.3633 0.7363 0.3489
0.6367 0.2637 0.6511
0.9808 0.7203 0.6183
```



Version 2
Here is a relaxed NaLiB2H10N2 crystal from the Alexandria database. Energies are from PBE.

Output
ρ   1050 kg/m³

```
NaLiB2H10N2
1.0
-2.1602 -4.7990 1.0473
6.5670 -2.9688 -0.0583
1.2843 2.5588 14.3745
H N B Li Na
40 8 8 4 4
direct
0.7505 0.7697 0.4566
0.3588 0.0749 0.3845
0.9234 0.5904 0.2708
0.6458 0.6149 0.1199
0.8588 0.0749 0.1155
0.6581 0.5747 0.4137
0.6343 0.0718 0.2923
0.1343 0.9282 0.7077
0.1458 0.6149 0.3801
0.3202 0.9321 0.5432
0.1970 0.7347 0.5147
0.2505 0.7697 0.0434
0.9817 0.6868 0.6710
0.5363 0.8408 0.1872
0.1970 0.2653 0.0147
0.9817 0.3132 0.1710
0.1581 0.5747 0.0863
0.1343 0.0718 0.2077
0.9234 0.4096 0.7708
0.4234 0.5904 0.2292
0.3588 0.9251 0.8845
0.8202 0.0679 0.4568
0.8202 0.9321 0.9568
0.1581 0.4253 0.5863
0.3202 0.0679 0.0432
0.7505 0.2303 0.9566
0.0363 0.8408 0.3128
0.6970 0.7347 0.9853
0.1458 0.3851 0.8801
0.6970 0.2653 0.4853
0.6581 0.4253 0.9137
0.0363 0.1592 0.8128
0.8588 0.9251 0.6155
0.6343 0.9282 0.7923
0.5363 0.1592 0.6872
0.4234 0.4096 0.7292
0.6458 0.3851 0.6199
0.4817 0.6868 0.8290
0.4817 0.3132 0.3290
0.2505 0.2303 0.5434
0.7213 0.7037 0.3958
0.2545 0.1894 0.0697
0.7545 0.8106 0.9303
0.7213 0.2963 0.8958
0.2213 0.2963 0.6042
0.2213 0.7037 0.1042
0.2545 0.8106 0.5697
0.7545 0.1894 0.4303
0.9647 0.6857 0.3393
0.9647 0.3143 0.8393
0.5501 0.1596 0.3581
0.0501 0.8404 0.6419
0.4647 0.3143 0.6607
0.5501 0.8404 0.8581
0.0501 0.1596 0.1419
0.4647 0.6857 0.1607
0.4359 0.8178 0.3218
0.9359 0.1822 0.6782
0.9359 0.8178 0.1782
0.4359 0.1822 0.8218
0.0674 0.3034 0.3313
0.5674 0.6966 0.6687
0.0674 0.6966 0.8313
0.5674 0.3034 0.1687
```



Stability, highest: version 1